Entry 1:
Entry from Alexandria via LeMat-Bulk: an optimized crystal structure of AlCo2I (GGA-PBE).

Structure (CIF):
```
data_AlCo2I
_space_group_name_H-M_alt 'P 1'
_space_group_IT_number 1
_cell_length_a 4.400
_cell_length_b 4.400
_cell_length_c 4.400
_cell_angle_alpha 60.00
_cell_angle_beta 60.00
_cell_angle_gamma 60.00
loop_
_space_group_symop_operation_xyz
'x,y,z'
loop_
_atom_site_label
_atom_site_type_symbol
_atom_site_fract_x
_atom_site_fract_y
_atom_site_fract_z
_atom_site_occupancy
Al1 Al 0.000 0.000 0.000 1
Co1 Co 0.250 0.250 0.250 1
Co2 Co 0.750 0.750 0.750 1
I1 I 0.500 0.500 0.500 1
```

Computed properties:
DFT total energy   -17.188 eV for the cell shown
Formation energy (no corrections)   0.58 eV/atom

Entry 2:
Entry from Alexandria via LeMat-Bulk: an optimized crystal structure of BaCrW (GGA-PBE).

Structure (CIF):
```
data_BaCrW
_space_group_name_H-M_alt 'P 1'
_space_group_IT_number 1
_cell_length_a 3.238
_cell_length_b 3.238
_cell_length_c 7.496
_cell_angle_alpha 90.00
_cell_angle_beta 90.00
_cell_angle_gamma 120.00
loop_
_space_group_symop_operation_xyz
'x,y,z'
loop_
_atom_site_label
_atom_site_type_symbol
_atom_site_fract_x
_atom_site_fract_y
_atom_site_fract_z
_atom_site_occupancy
Ba1 Ba 0.000 0.000 0.000 1
Cr1 Cr 0.667 0.333 0.391 1
W1 W 0.333 0.667 0.591 1
```

Computed properties:
DFT total energy   -20.885 eV for the cell shown
DFT formation energy   1.2049 eV per atom

Entry 3:
Entry from Alexandria via LeMat-Bulk: an optimized crystal structure of Dy6Sb2Se3S (GGA-PBE).

Structure (CIF):
```
data_Dy6Sb2Se3S
_space_group_name_H-M_alt 'P 1'
_space_group_IT_number 1
_cell_length_a 9.335
_cell_length_b 9.335
_cell_length_c 8.337
_cell_angle_alpha 102.79
_cell_angle_beta 102.79
_cell_angle_gamma 25.65
loop_
_space_group_symop_operation_xyz
'x,y,z'
loop_
_atom_site_label
_atom_site_type_symbol
_atom_site_fract_x
_atom_site_fract_y
_atom_site_fract_z
_atom_site_occupancy
Dy1 Dy 0.003 0.003 0.274 1
Dy2 Dy 0.339 0.339 0.907 1
Dy3 Dy 0.346 0.346 0.431 1
Dy4 Dy 0.654 0.654 0.569 1
Dy5 Dy 0.661 0.661 0.093 1
Dy6 Dy 0.997 0.997 0.726 1
Sb1 Sb 0.167 0.167 0.835 1
Sb2 Sb 0.833 0.833 0.165 1
Se1 Se 0.170 0.170 0.338 1
Se2 Se 0.500 0.500 0.000 1
Se3 Se 0.830 0.830 0.662 1
S1 S 0.500 0.500 0.500 1
```

Computed properties:
DFT total energy   -69.289 eV for the cell shown
Formation energy (no corrections)   -1.57 eV/atom

Entry 4:
Entry from Alexandria via LeMat-Bulk: an optimized crystal structure of Pr8Sm6Ho (GGA-PBE).

Structure (CIF):
```
data_Pr8Sm6Ho
_space_group_name_H-M_alt 'P 1'
_space_group_IT_number 1
_cell_length_a 8.370
_cell_length_b 8.370
_cell_length_c 8.370
_cell_angle_alpha 73.36
_cell_angle_beta 73.36
_cell_angle_gamma 73.36
loop_
_space_group_symop_operation_xyz
'x,y,z'
loop_
_atom_site_label
_atom_site_type_symbol
_atom_site_fract_x
_atom_site_fract_y
_atom_site_fract_z
_atom_site_occupancy
Pr1 Pr 0.086 0.086 0.086 1
Pr2 Pr 0.146 0.570 0.274 1
Pr3 Pr 0.274 0.146 0.570 1
Pr4 Pr 0.430 0.726 0.854 1
Pr5 Pr 0.570 0.274 0.146 1
Pr6 Pr 0.726 0.854 0.430 1
Pr7 Pr 0.854 0.430 0.726 1
Pr8 Pr 0.914 0.914 0.914 1
Sm1 Sm 0.111 0.783 0.579 1
Sm2 Sm 0.217 0.421 0.889 1
Sm3 Sm 0.421 0.889 0.217 1
Sm4 Sm 0.579 0.111 0.783 1
Sm5 Sm 0.783 0.579 0.111 1
Sm6 Sm 0.889 0.217 0.421 1
Ho1 Ho 0.500 0.500 0.500 1
```

Computed properties:
DFT total energy   -68.852 eV for the cell shown
DFT formation energy   0.1518 eV per atom

Entry 5:
Entry from Alexandria via LeMat-Bulk: an optimized crystal structure of Li2InPb8 (GGA-PBE).

Structure (CIF):
```
data_Li2InPb8
_space_group_name_H-M_alt 'P 1'
_space_group_IT_number 1
_cell_length_a 8.939
_cell_length_b 8.939
_cell_length_c 7.869
_cell_angle_alpha 108.67
_cell_angle_beta 108.67
_cell_angle_gamma 31.99
loop_
_space_group_symop_operation_xyz
'x,y,z'
loop_
_atom_site_label
_atom_site_type_symbol
_atom_site_fract_x
_atom_site_fract_y
_atom_site_fract_z
_atom_site_occupancy
Li1 Li 0.226 0.226 0.150 1
Li2 Li 0.774 0.774 0.850 1
In1 In 0.500 0.500 0.500 1
Pb1 Pb 0.041 0.041 0.230 1
Pb2 Pb 0.147 0.147 0.715 1
Pb3 Pb 0.319 0.319 0.576 1
Pb4 Pb 0.392 0.392 0.027 1
Pb5 Pb 0.608 0.608 0.973 1
Pb6 Pb 0.681 0.681 0.424 1
Pb7 Pb 0.853 0.853 0.285 1
Pb8 Pb 0.959 0.959 0.770 1
```

Computed properties:
DFT total energy   -36.921 eV for the cell shown
DFT formation energy   -0.0626 eV per atom

Entry 6:
Entry from Alexandria via LeMat-Bulk: an optimized crystal structure of Rb2InPb6 (GGA-PBE).

Structure (CIF):
```
data_Rb2InPb6
_space_group_name_H-M_alt 'P 1'
_space_group_IT_number 1
_cell_length_a 10.093
_cell_length_b 10.093
_cell_length_c 3.478
_cell_angle_alpha 90.17
_cell_angle_beta 90.17
_cell_angle_gamma 60.01
loop_
_space_group_symop_operation_xyz
'x,y,z'
loop_
_atom_site_label
_atom_site_type_symbol
_atom_site_fract_x
_atom_site_fract_y
_atom_site_fract_z
_atom_site_occupancy
Rb1 Rb 0.167 0.167 0.000 1
Rb2 Rb 0.833 0.833 0.000 1
In1 In 0.500 0.500 0.000 1
Pb1 Pb 0.181 0.819 0.500 1
Pb2 Pb 0.182 0.500 0.504 1
Pb3 Pb 0.500 0.182 0.504 1
Pb4 Pb 0.500 0.818 0.496 1
Pb5 Pb 0.818 0.500 0.496 1
Pb6 Pb 0.819 0.181 0.500 1
```

Computed properties:
DFT total energy   -27.142 eV for the cell shown
DFT formation energy   -0.0243 eV per atom

Entry 7:
Entry from Alexandria via LeMat-Bulk: an optimized crystal structure of Ac2As3PPd4 (GGA-PBE).

Structure (CIF):
```
data_Ac2As3PPd4
_space_group_name_H-M_alt 'P 1'
_space_group_IT_number 1
_cell_length_a 4.526
_cell_length_b 4.526
_cell_length_c 9.962
_cell_angle_alpha 90.00
_cell_angle_beta 90.00
_cell_angle_gamma 90.00
loop_
_space_group_symop_operation_xyz
'x,y,z'
loop_
_atom_site_label
_atom_site_type_symbol
_atom_site_fract_x
_atom_site_fract_y
_atom_site_fract_z
_atom_site_occupancy
Ac1 Ac 0.000 0.500 0.247 1
Ac2 Ac 0.500 0.000 0.753 1
As1 As 0.000 0.000 0.000 1
As2 As 0.000 0.500 0.633 1
As3 As 0.500 0.000 0.367 1
P1 P 0.500 0.500 0.000 1
Pd1 Pd 0.000 0.000 0.500 1
Pd2 Pd 0.000 0.500 0.890 1
Pd3 Pd 0.500 0.000 0.110 1
Pd4 Pd 0.500 0.500 0.500 1
```

Computed properties:
DFT total energy   -57.687 eV for the cell shown
DFT formation energy   -0.9340 eV per atom

Entry 8:
Entry from Alexandria via LeMat-Bulk: an optimized crystal structure of LaNi2C2 (GGA-PBE).

Structure (CIF):
```
data_LaNi2C2
_space_group_name_H-M_alt 'P 1'
_space_group_IT_number 1
_cell_length_a 5.244
_cell_length_b 5.244
_cell_length_c 7.037
_cell_angle_alpha 90.00
_cell_angle_beta 90.00
_cell_angle_gamma 137.85
loop_
_space_group_symop_operation_xyz
'x,y,z'
loop_
_atom_site_label
_atom_site_type_symbol
_atom_site_fract_x
_atom_site_fract_y
_atom_site_fract_z
_atom_site_occupancy
La1 La 0.069 0.931 0.750 1
La2 La 0.931 0.069 0.250 1
Ni1 Ni 0.330 0.670 0.559 1
Ni2 Ni 0.330 0.670 0.941 1
Ni3 Ni 0.670 0.330 0.059 1
Ni4 Ni 0.670 0.330 0.441 1
C1 C 0.192 0.808 0.151 1
C2 C 0.192 0.808 0.349 1
C3 C 0.808 0.192 0.651 1
C4 C 0.808 0.192 0.849 1
```

Computed properties:
DFT total energy   -70.797 eV for the cell shown
DFT formation energy   -0.0921 eV per atom

Entry 9:
Entry from Alexandria via LeMat-Bulk: an optimized crystal structure of Tm3Ga3Ir (GGA-PBE).

Structure (CIF):
```
data_Tm3Ga3Ir
_space_group_name_H-M_alt 'P 1'
_space_group_IT_number 1
_cell_length_a 5.706
_cell_length_b 5.706
_cell_length_c 14.350
_cell_angle_alpha 107.02
_cell_angle_beta 107.02
_cell_angle_gamma 42.35
loop_
_space_group_symop_operation_xyz
'x,y,z'
loop_
_atom_site_label
_atom_site_type_symbol
_atom_site_fract_x
_atom_site_fract_y
_atom_site_fract_z
_atom_site_occupancy
Tm1 Tm 0.027 0.027 0.381 1
Tm2 Tm 0.109 0.109 0.923 1
Tm3 Tm 0.238 0.238 0.237 1
Tm4 Tm 0.762 0.762 0.763 1
Tm5 Tm 0.891 0.891 0.077 1
Tm6 Tm 0.973 0.973 0.619 1
Ga1 Ga 0.358 0.358 0.465 1
Ga2 Ga 0.391 0.391 0.925 1
Ga3 Ga 0.478 0.478 0.772 1
Ga4 Ga 0.522 0.522 0.228 1
Ga5 Ga 0.609 0.609 0.075 1
Ga6 Ga 0.642 0.642 0.535 1
Ir1 Ir 0.261 0.261 0.619 1
Ir2 Ir 0.739 0.739 0.381 1
```

Computed properties:
DFT total energy   -72.957 eV for the cell shown
DFT formation energy   -0.7318 eV per atom

Entry 10:
Entry from Alexandria via LeMat-Bulk: an optimized crystal structure of TaAsPS2 (GGA-PBE).

Structure (CIF):
```
data_TaAsPS2
_space_group_name_H-M_alt 'P 1'
_space_group_IT_number 1
_cell_length_a 4.672
_cell_length_b 4.672
_cell_length_c 5.122
_cell_angle_alpha 90.00
_cell_angle_beta 90.00
_cell_angle_gamma 90.00
loop_
_space_group_symop_operation_xyz
'x,y,z'
loop_
_atom_site_label
_atom_site_type_symbol
_atom_site_fract_x
_atom_site_fract_y
_atom_site_fract_z
_atom_site_occupancy
Ta1 Ta 0.000 0.000 0.000 1
As1 As 0.500 0.500 0.500 1
P1 P 0.000 0.000 0.500 1
S1 S 0.000 0.500 0.000 1
S2 S 0.500 0.000 0.000 1
```

Computed properties:
DFT total energy   -28.805 eV for the cell shown
Formation energy (no corrections)   0.27 eV/atom

Entry 11:
Entry from Alexandria via LeMat-Bulk: an optimized crystal structure of PaTi4Bi (GGA-PBE).

Structure (CIF):
```
data_PaTi4Bi
_space_group_name_H-M_alt 'P 1'
_space_group_IT_number 1
_cell_length_a 5.366
_cell_length_b 5.366
_cell_length_c 4.963
_cell_angle_alpha 90.00
_cell_angle_beta 90.00
_cell_angle_gamma 124.54
loop_
_space_group_symop_operation_xyz
'x,y,z'
loop_
_atom_site_label
_atom_site_type_symbol
_atom_site_fract_x
_atom_site_fract_y
_atom_site_fract_z
_atom_site_occupancy
Pa1 Pa 0.000 0.000 0.000 1
Ti1 Ti 0.168 0.832 0.500 1
Ti2 Ti 0.309 0.691 0.000 1
Ti3 Ti 0.691 0.309 0.000 1
Ti4 Ti 0.832 0.168 0.500 1
Bi1 Bi 0.500 0.500 0.500 1
```

Computed properties:
DFT total energy   -44.940 eV for the cell shown
DFT formation energy   0.0027 eV per atom

In states/eV/f.u., the N(E_F) values for the records above are, in order, 8.9 3.8 3.5 22.8 5.1 4.5 4.0 1.5 4.2 3.0 8.2.